First-principles (SCAN) data for a crystal of MgNiBi relaxed with PBEsol, as listed in Alexandria via LeMat-Bulk. Values from VASP.

Values from the calculation:
Crystal system   cubic
Formation energy from the elements   -0.260 eV per atom
Volume   58.9 Å³/cell
Total magnetization   0.00 μB per formula unit

Cell and atoms, written as Quantum ESPRESSO input:
```
&SYSTEM
  ibrav = 0, nat = 3, ntyp = 3
/
ATOMIC_SPECIES
Mg 24.30 Mg.upf
Ni 58.69 Ni.upf
Bi 208.98 Bi.upf
CELL_PARAMETERS angstrom
0.000 3.088 3.088
3.088 0.000 3.088
3.088 3.088 0.000
ATOMIC_POSITIONS angstrom
Mg 0.000 0.000 0.000
Ni 4.632 4.632 4.632
Bi 3.088 3.088 3.088
```